Crystalline NpU2 at its relaxed geometry, computed with PBE-GGA.

Calculated values
As for the density: 20209 kg/m3. The uncorrected energy comes out at -0.8473 Ry/atom.

Cell: 3.2911 3.2911 5.8887 Å, 106.23 106.23 90.00°
Last column: nearest neighbours and their distance in Å.
Fractional coordinates of all 3 atoms:
1 Np 0.0000 0.0000 0.0000  8 U 2.87
2 U 0.6550 0.6550 0.3099  4 Np 2.87, 4 U 3.11
3 U 0.3450 0.3450 0.6901  4 Np 2.87, 4 U 3.11